[1]
# BeInH2 (PBE-GGA, optimized geometry)
# ΔE to the lowest computed polymorph: 0 meV per atom
data_BeInH2
_chemical_formula_sum 'Be2 In2 H4'
_cell_length_a 4.753
_cell_length_b 4.753
_cell_length_c 5.256
_cell_angle_alpha 63.12
_cell_angle_beta 63.12
_cell_angle_gamma 90.00
_symmetry_space_group_name_H-M 'P 1'
_symmetry_Int_Tables_number 1
loop_
_symmetry_equiv_pos_as_xyz
'x,y,z'
loop_
_atom_site_label
_atom_site_fract_x
_atom_site_fract_y
_atom_site_fract_z
H1 0.375 0.625 0.750
Be1 0.250 0.750 0.500
In1 0.750 0.250 0.500
H2 0.875 0.625 0.750
In2 0.000 0.000 0.000
H3 0.375 0.625 0.250
Be2 0.500 0.500 0.000
H4 0.375 0.125 0.250

=====

[2]
# Cs4Pr3ThSe8 (PBE-GGA, optimized geometry)
# energy relative to the elements, uncorrected: -1.6823 eV/atom
data_Cs4Pr3ThSe8
_chemical_formula_sum 'Cs4 Pr3 Th1 Se8'
_cell_length_a 8.806
_cell_length_b 9.846
_cell_length_c 8.805
_cell_angle_alpha 116.57
_cell_angle_beta 120.00
_cell_angle_gamma 90.00
_symmetry_space_group_name_H-M 'P 1'
_symmetry_Int_Tables_number 1
loop_
_symmetry_equiv_pos_as_xyz
'x,y,z'
loop_
_atom_site_label
_atom_site_fract_x
_atom_site_fract_y
_atom_site_fract_z
Pr1 0.000 0.500 0.500
Se1 0.227 0.692 0.965
Se2 0.731 0.694 0.463
Cs1 0.000 0.000 0.000
Se3 0.261 0.308 0.035
Se4 0.227 0.692 0.453
Se5 0.269 0.306 0.537
Se6 0.773 0.308 0.035
Cs2 0.500 0.000 0.000
Cs3 0.500 0.000 0.500
Pr2 0.500 0.500 0.000
Se7 0.773 0.308 0.547
Cs4 0.000 0.000 0.500
Th1 0.000 0.500 0.000
Pr3 0.500 0.500 0.500
Se8 0.739 0.692 0.965

=====

[3]
Below is a relaxed structure of NbNi2Ge, with properties calculated at the PBE-GGA level.

```
data_NbNi2Ge
_chemical_formula_sum 'Nb2 Ni4 Ge2'
_cell_length_a 2.829
_cell_length_b 3.955
_cell_length_c 9.817
_cell_angle_alpha 90.00
_cell_angle_beta 90.00
_cell_angle_gamma 90.00
_symmetry_space_group_name_H-M 'P 1'
_symmetry_Int_Tables_number 1
loop_
_symmetry_equiv_pos_as_xyz
'x,y,z'
loop_
_atom_site_label
_atom_site_fract_x
_atom_site_fract_y
_atom_site_fract_z
Ni1 0.500 0.500 0.086
Nb1 0.500 0.500 0.828
Ge1 0.000 0.000 0.186
Nb2 0.500 0.000 0.441
Ge2 0.000 0.500 0.572
Ni2 0.000 0.000 0.952
Ni3 0.000 0.000 0.700
Ni4 0.000 0.500 0.321
```

=====

[4]
# Zr2ScPbO (PBE-GGA, optimized geometry)
# energy relative to the elements, uncorrected: -1.1118 eV/atom
data_Zr2ScPbO
_chemical_formula_sum 'Zr2 Sc1 Pb1 O1'
_cell_length_a 4.654
_cell_length_b 4.654
_cell_length_c 4.307
_cell_angle_alpha 90.00
_cell_angle_beta 90.00
_cell_angle_gamma 90.00
_symmetry_space_group_name_H-M 'P 1'
_symmetry_Int_Tables_number 1
loop_
_symmetry_equiv_pos_as_xyz
'x,y,z'
loop_
_atom_site_label
_atom_site_fract_x
_atom_site_fract_y
_atom_site_fract_z
O1 0.000 0.000 0.000
Sc1 0.000 0.000 0.500
Pb1 0.500 0.500 0.500
Zr1 0.500 0.000 0.000
Zr2 0.000 0.500 0.000

=====

[5]
# SrYMn (PBE-GGA, optimized geometry)
# ΔE to the lowest computed polymorph: 332 meV per atom
data_SrYMn
_chemical_formula_sum 'Sr1 Y1 Mn1'
_cell_length_a 5.217
_cell_length_b 5.217
_cell_length_c 5.217
_cell_angle_alpha 60.00
_cell_angle_beta 60.00
_cell_angle_gamma 60.00
_symmetry_space_group_name_H-M 'P 1'
_symmetry_Int_Tables_number 1
loop_
_symmetry_equiv_pos_as_xyz
'x,y,z'
loop_
_atom_site_label
_atom_site_fract_x
_atom_site_fract_y
_atom_site_fract_z
Mn1 0.750 0.750 0.750
Sr1 0.000 0.000 0.000
Y1 0.500 0.500 0.500

=====

[6]
# PdO2F2 (PBE-GGA, optimized geometry)
# energy relative to the elements, uncorrected: 0.0644 eV/atom
data_PdO2F2
_chemical_formula_sum 'Pd1 O2 F2'
_cell_length_a 4.191
_cell_length_b 4.191
_cell_length_c 3.794
_cell_angle_alpha 90.00
_cell_angle_beta 90.00
_cell_angle_gamma 90.00
_symmetry_space_group_name_H-M 'P 1'
_symmetry_Int_Tables_number 1
loop_
_symmetry_equiv_pos_as_xyz
'x,y,z'
loop_
_atom_site_label
_atom_site_fract_x
_atom_site_fract_y
_atom_site_fract_z
O1 0.000 0.000 0.500
O2 0.500 0.500 0.500
Pd1 0.000 0.000 0.000
F1 0.000 0.500 0.000
F2 0.500 0.000 0.000

=====

Number 1: E -2.97 eV per atom. Number 2: E -5.00 eV per atom. Number 3: E -6.84 eV per atom. Number 4: E -7.53 eV per atom. Number 5: E -5.13 eV per atom. Number 6: E -3.71 eV per atom.